Cr4InMo | PBE-GGA | optimized geometry

Its space-group type is No. 216. Its formation energy is 0.142 eV/atom. The value obtained for the calculated volume is 82.1 Å³/cell.

```
6
Lattice="0.0000 3.4502 3.4502 3.4502 0.0000 3.4502 3.4502 3.4502 0.0000" Properties=species:S:1:pos:R:3 pbc="T T T"
Cr 0.8634 0.8634 0.8634
Cr 2.5868 2.5868 0.8634
Cr 2.5868 0.8634 2.5868
Cr 0.8634 2.5868 2.5868
In 5.1753 5.1753 5.1753
Mo 3.4502 3.4502 3.4502
```